[1]
Below is a PBEsol-optimized structure of Zn2NiAs, with properties calculated at the SCAN level.

Unit cell a=6.0627 b=6.0627 c=6.0627 alpha=90.00 beta=90.00 gamma=90.00
Closest atoms and distances in Å follow each position.
Space group F-43m (No. 216)
One atom of each set of equivalent atoms:
Zn: 0.0000 0.0000 0.0000 x4  4 Ni 2.63, 4 Zn 2.63
Zn: 0.2500 0.2500 0.2500 x4  4 As 2.63, 4 Zn 2.63
Ni: 0.2500 0.2500 0.7500 x4  4 As 2.63, 4 Zn 2.63
As: 0.0000 0.0000 0.5000 x4  4 Ni 2.63, 4 Zn 2.63

Results
- E_form (meV/atom) = 170
- E (eV/atom) = -15.679

[2]
Below is a PBEsol-optimized structure of HgGe3Au, with properties calculated at the SCAN level.

Unit cell a=5.0654 b=5.0654 c=5.0654 alpha=90.00 beta=90.00 gamma=90.00
Closest atoms and distances in Å follow each position.
Space group Pm-3m (No. 221)
One atom of each set of equivalent atoms:
Hg: 0.0000 0.0000 0.0000 x1  6 Ge 2.53
Ge: 0.0000 0.0000 0.5000 x3  2 Hg 2.53
Au: 0.5000 0.5000 0.5000 x1  12 Ge 3.58

Results
- E_form (meV/atom) = 1057
- E (eV/atom) = -37.860

[3]
Below is a PBEsol-optimized structure of NaLi3Bi, with properties calculated at the SCAN level.

Unit cell a=5.3170 b=5.3170 c=5.3170 alpha=90.00 beta=90.00 gamma=90.00
Closest atoms and distances in Å follow each position.
Space group Pm-3m (No. 221)
One atom of each set of equivalent atoms:
Na: 0.0000 0.0000 0.0000 x1  12 Li 3.76
Li: 0.0000 0.5000 0.5000 x3  2 Bi 2.66
Bi: 0.5000 0.5000 0.5000 x1  6 Li 2.66

Results
- E_form (meV/atom) = -208
- E (eV/atom) = -18.201

[4]
Below is a PBEsol-optimized structure of Nb3WS8, with properties calculated at the SCAN level.

Unit cell a=3.2634 b=3.2634 c=72.6486 alpha=90.00 beta=90.00 gamma=120.00
Closest atoms and distances in Å follow each position.
Space group R3m (No. 160, hexagonal axes)
One atom of each set of equivalent atoms:
Nb: 0.0000 0.0000 0.0000 x3  6 S 2.46
Nb: 0.0000 0.0000 0.2498 x3  6 S 2.46
Nb: 0.0000 0.0000 0.4997 x3  6 S 2.46
W: 0.0000 0.0000 0.7498 x3  6 S 2.42
S: 0.0000 0.0000 0.1445 x3  3 Nb 2.46
S: 0.0000 0.0000 0.1881 x3  3 Nb 2.46
S: 0.0000 0.0000 0.3955 x3  3 W 2.42
S: 0.0000 0.0000 0.4375 x3  3 W 2.42
S: 0.0000 0.0000 0.6449 x3  3 Nb 2.46
S: 0.0000 0.0000 0.6884 x3  3 Nb 2.46
S: 0.0000 0.0000 0.8946 x3  3 Nb 2.46
S: 0.0000 0.0000 0.9382 x3  3 Nb 2.46

Results
- E_form (uncorrected) (meV/atom) = -1033
- E (eV/atom) = -21.541

[5]
Below is a PBEsol-optimized structure of Ti3ZnTc, with properties calculated at the SCAN level.

Unit cell a=4.6322 b=4.6322 c=4.6322 alpha=90.00 beta=90.00 gamma=90.00
Closest atoms and distances in Å follow each position.
Space group Pm-3m (No. 221)
One atom of each set of equivalent atoms:
Ti: 0.0000 0.0000 0.5000 x3  2 Tc 2.32
Zn: 0.5000 0.5000 0.5000 x1  12 Ti 3.28
Tc: 0.0000 0.0000 0.0000 x1  6 Ti 2.32

Results
- E_form (meV/atom) = 525
- E (eV/atom) = -18.808

[6]
Below is a PBEsol-optimized structure of TlAs2PbSe, with properties calculated at the SCAN level.

Unit cell a=5.3488 b=5.3488 c=5.4670 alpha=90.00 beta=90.00 gamma=90.00
Closest atoms and distances in Å follow each position.
Space group P4/mmm (No. 123)
One atom of each set of equivalent atoms:
Tl: 0.0000 0.0000 0.0000 x1  4 Se 3.78, 8 As 3.82
As: 0.0000 0.5000 0.5000 x2  2 Pb 2.67
Pb: 0.5000 0.5000 0.5000 x1  4 As 2.67, 2 Se 2.73
Se: 0.5000 0.5000 0.0000 x1  2 Pb 2.73

Results
- E_form (uncorrected) (meV/atom) = 658
- E (eV/atom) = -41.062

[7]
Below is a PBEsol-optimized structure of K2HgI2, with properties calculated at the SCAN level.

Unit cell a=9.3796 b=9.3796 c=4.3663 alpha=90.00 beta=90.00 gamma=90.00
Closest atoms and distances in Å follow each position.
Space group P4/mbm (No. 127)
One atom of each set of equivalent atoms:
K: 0.1435 0.3565 0.0000 x4  6 I 3.43-3.57, 2 Hg 3.60, 1 K 3.81
Hg: 0.0000 0.0000 0.0000 x2  4 K 3.60
I: 0.1572 0.6572 0.5000 x4  6 K 3.43-3.57

Results
- E_form (uncorrected) (meV/atom) = -1244
- E (eV/atom) = -32.905

[8]
Below is a PBEsol-optimized structure of NbIrBr2, with properties calculated at the SCAN level.

Unit cell a=3.1549 b=3.1549 c=26.7833 alpha=90.00 beta=90.00 gamma=120.00
Closest atoms and distances in Å follow each position.
Space group R-3m (No. 166, hexagonal axes)
One atom of each set of equivalent atoms:
Nb: 0.0000 0.0000 0.0000 x3  2 Br 2.47
Ir: 0.0000 0.0000 0.5000 x3  6 Br 2.70
Br: 0.0000 0.0000 0.0923 x6  1 Nb 2.47, 3 Ir 2.70

Results
- E_form (uncorrected) (meV/atom) = 1033
- E (eV/atom) = -34.754

Please write out number 6 again, unchanged.
Below is a PBEsol-optimized structure of TlAs2PbSe, with properties calculated at the SCAN level.

Unit cell a=5.3488 b=5.3488 c=5.4670 alpha=90.00 beta=90.00 gamma=90.00
Closest atoms and distances in Å follow each position.
Space group P4/mmm (No. 123)
One atom of each set of equivalent atoms:
Tl: 0.0000 0.0000 0.0000 x1  4 Se 3.78, 8 As 3.82
As: 0.0000 0.5000 0.5000 x2  2 Pb 2.67
Pb: 0.5000 0.5000 0.5000 x1  4 As 2.67, 2 Se 2.73
Se: 0.5000 0.5000 0.0000 x1  2 Pb 2.73

Results
- E_form (uncorrected) (meV/atom) = 658
- E (eV/atom) = -41.062

Question: E of number 7 (K2HgI2)?
Answer: -32.905 eV/atom

Copy entry 2 word for word.
Below is a PBEsol-optimized structure of HgGe3Au, with properties calculated at the SCAN level.

Unit cell a=5.0654 b=5.0654 c=5.0654 alpha=90.00 beta=90.00 gamma=90.00
Closest atoms and distances in Å follow each position.
Space group Pm-3m (No. 221)
One atom of each set of equivalent atoms:
Hg: 0.0000 0.0000 0.0000 x1  6 Ge 2.53
Ge: 0.0000 0.0000 0.5000 x3  2 Hg 2.53
Au: 0.5000 0.5000 0.5000 x1  12 Ge 3.58

Results
- E_form (meV/atom) = 1057
- E (eV/atom) = -37.860

What did the seventh record say?
Below is a PBEsol-optimized structure of K2HgI2, with properties calculated at the SCAN level.

Unit cell a=9.3796 b=9.3796 c=4.3663 alpha=90.00 beta=90.00 gamma=90.00
Closest atoms and distances in Å follow each position.
Space group P4/mbm (No. 127)
One atom of each set of equivalent atoms:
K: 0.1435 0.3565 0.0000 x4  6 I 3.43-3.57, 2 Hg 3.60, 1 K 3.81
Hg: 0.0000 0.0000 0.0000 x2  4 K 3.60
I: 0.1572 0.6572 0.5000 x4  6 K 3.43-3.57

Results
- E_form (uncorrected) (meV/atom) = -1244
- E (eV/atom) = -32.905